# K2LiCrBi

A geometry-optimized K2LiCrBi structure (PBE, Alexandria via LeMat-Bulk).

Cell lengths 6.556, 5.238, 6.556 Å; angles 90.00, 90.00, 90.00 degrees
Each line ends with the local moment (μB).
Atoms (fractional coordinates):
1 K 0.500 0.000 0.000  0.01
2 K 0.000 0.000 0.500  0.01
3 Bi 0.000 0.500 0.000  -0.23
4 Li 0.500 0.500 0.500  -0.02
5 Cr 0.000 0.000 0.000  3.88

Summary:
**DOS at the Fermi energy**: 1.6 states/eV/f.u.
**DFT formation energy**: 397 meV per atom
**M_tot**: 0.801 μB/atom